(1)
A relaxed structure of Pr6YHo3Tm2. Source: Alexandria, functional PBE-GGA.

The structure belongs to space group C2/m (No. 12); the cell edges are 6.292, 10.896 and 11.839 Å and the angles 90.00°, 100.19° and 90.00°. The asymmetric unit holds Pr at (0.249, 0.000, 0.250), Pr at (0.249, 0.167, 0.750), Y at (0.000, 0.500, 0.000), Ho at (0.000, 0.000, 0.500), Ho at (0.000, 0.333, 0.500) and Tm at (0.000, 0.167, 0.000).

The electronic total energy is -115.33 eV/cell. The calculation puts the energy of formation from the pure elements at 12.9 meV/atom. For the density of states at the Fermi level, the calculation gives 24.87 states/eV per cell. The magnetic moment is 0.00 μB per atom.

---

(2)
A relaxed structure of Pr6Y2HoTm. Source: Alexandria, functional PBE-GGA.

The structure belongs to space group C2/c (No. 15); the cell edges are 9.403, 15.431 and 9.616 Å and the angles 90.00°, 96.61° and 90.00°. The asymmetric unit holds Pr at (0.059, 0.175, 0.444), Pr at (0.096, 0.388, 0.616), Pr at (0.216, 0.221, 0.809), Y at (0.249, 0.047, 0.048), Ho at (0.000, 0.031, 0.750) and Tm at (0.000, 0.413, 0.250).

The electronic total energy is -197.92 eV/cell. The calculation puts the energy of formation from the pure elements at 117.3 meV/atom. For the density of states at the Fermi level, the calculation gives 59.31 states/eV per cell. The magnetic moment is 0.00 μB per atom.